# Sc2ReTe

Sc2ReTe after structural relaxation (PBE, the Alexandria database).

Properties
**Magnetic moment**: 0.000 μB/cell
**Final energy**: -7.374 eV/atom
**Formation energy from raw total energies**: -0.31 eV per atom

Cell lengths 3.4782, 4.5235, 5.4856 Å; angles 90.00, 108.17, 90.00 degrees
Closest atoms and distances in Å follow each position.
Sites, in units of the cell vectors:
Sc  0.0000  0.0000  0.0000  1 Re 2.67, 4 Te 2.97
Sc  0.2965  0.5000  0.6027  3 Te 2.89-2.90, 4 Re 2.91-2.92
Re  0.7385  0.0000  0.4876  5 Sc 2.67-2.92, 2 Te 2.83
Te  0.5789  0.5000  0.1600  2 Re 2.83, 7 Sc 2.89-2.97